This record from OQMD via LeMat-Bulk describes an optimized crystal structure of BaHgNO. The functional is PBE.

CIF file:
```
data_BaHgNO
_cell_length_a 4.153
_cell_length_b 6.408
_cell_length_c 6.590
_cell_angle_alpha 90.00
_cell_angle_beta 90.00
_cell_angle_gamma 90.00
_space_group_name_H-M_alt 'P 1'
_space_group_IT_number 1
_space_group_name_Hall 'P 1'
loop_
_atom_site_label
_atom_site_type_symbol
_atom_site_fract_x
_atom_site_fract_y
_atom_site_fract_z
_atom_site_occupancy
Ba1 Ba 0.000 0.192 0.000 1
Ba2 Ba 0.000 0.808 0.500 1
Hg1 Hg 0.500 0.365 0.524 1
Hg2 Hg 0.500 0.635 0.024 1
N1 N 0.500 0.346 0.199 1
N2 N 0.500 0.654 0.699 1
O1 O 0.000 0.185 0.612 1
O2 O 0.000 0.815 0.112 1
```

Summary:
crystal system: orthorhombic
VASP energy: -4.0900 eV per atom
ρ: 6.97 Mg/m³
offset from the most stable computed form: 184.3 meV/atom

=====

This record from OQMD via LeMat-Bulk describes an optimized crystal structure of NaGaAg2F6. The functional is PBE.

CIF file:
```
data_NaGaAg2F6
_cell_length_a 5.593
_cell_length_b 5.593
_cell_length_c 5.593
_cell_angle_alpha 60.00
_cell_angle_beta 60.00
_cell_angle_gamma 60.00
_space_group_name_H-M_alt 'P 1'
_space_group_IT_number 1
_space_group_name_Hall 'P 1'
loop_
_atom_site_label
_atom_site_type_symbol
_atom_site_fract_x
_atom_site_fract_y
_atom_site_fract_z
_atom_site_occupancy
Na1 Na 0.000 0.000 0.000 1
Ga1 Ga 0.500 0.500 0.500 1
Ag1 Ag 0.250 0.250 0.250 1
Ag2 Ag 0.750 0.750 0.750 1
F1 F 0.263 0.263 0.737 1
F2 F 0.263 0.737 0.263 1
F3 F 0.263 0.737 0.737 1
F4 F 0.737 0.263 0.263 1
F5 F 0.737 0.263 0.737 1
F6 F 0.737 0.737 0.263 1
```

Summary:
crystal system: cubic
VASP energy: -4.0850 eV per atom
ρ: 5.67 Mg/m³

=====

This record from OQMD via LeMat-Bulk describes an optimized crystal structure of Ba2ZrPtN6. The functional is PBE.

CIF file:
```
data_Ba2ZrPtN6
_cell_length_a 5.909
_cell_length_b 5.909
_cell_length_c 5.909
_cell_angle_alpha 120.01
_cell_angle_beta 120.01
_cell_angle_gamma 89.98
_space_group_name_H-M_alt 'P 1'
_space_group_IT_number 1
_space_group_name_Hall 'P 1'
loop_
_atom_site_label
_atom_site_type_symbol
_atom_site_fract_x
_atom_site_fract_y
_atom_site_fract_z
_atom_site_occupancy
Ba1 Ba 0.250 0.750 0.500 1
Ba2 Ba 0.750 0.250 0.500 1
Zr1 Zr 0.000 0.000 0.000 1
Pt1 Pt 0.500 0.500 0.000 1
N1 N 0.255 0.261 0.516 1
N2 N 0.258 0.258 0.000 1
N3 N 0.261 0.745 0.006 1
N4 N 0.739 0.255 0.994 1
N5 N 0.742 0.742 0.000 1
N6 N 0.745 0.739 0.484 1
```

Summary:
crystal system: tetragonal
VASP energy: -6.6873 eV per atom
ρ: 7.34 Mg/m³

=====

This record from OQMD via LeMat-Bulk describes an optimized crystal structure of AlTlPd2. The functional is PBE.

CIF file:
```
data_AlTlPd2
_cell_length_a 4.577
_cell_length_b 4.577
_cell_length_c 6.513
_cell_angle_alpha 90.00
_cell_angle_beta 90.00
_cell_angle_gamma 90.00
_space_group_name_H-M_alt 'P 1'
_space_group_IT_number 1
_space_group_name_Hall 'P 1'
loop_
_atom_site_label
_atom_site_type_symbol
_atom_site_fract_x
_atom_site_fract_y
_atom_site_fract_z
_atom_site_occupancy
Al1 Al 0.000 0.000 0.000 1
Al2 Al 0.500 0.500 0.500 1
Tl1 Tl 0.000 0.000 0.500 1
Tl2 Tl 0.500 0.500 0.000 1
Pd1 Pd 0.000 0.500 0.250 1
Pd2 Pd 0.000 0.500 0.750 1
Pd3 Pd 0.500 0.000 0.250 1
Pd4 Pd 0.500 0.000 0.750 1
```

Summary:
crystal system: tetragonal
VASP energy: -4.4736 eV per atom
ρ: 10.81 Mg/m³

=====

This record from OQMD via LeMat-Bulk describes an optimized crystal structure of ZrHg2As. The functional is PBE.

CIF file:
```
data_ZrHg2As
_cell_length_a 6.992
_cell_length_b 6.992
_cell_length_c 6.992
_cell_angle_alpha 90.00
_cell_angle_beta 90.00
_cell_angle_gamma 90.00
_space_group_name_H-M_alt 'P 1'
_space_group_IT_number 1
_space_group_name_Hall 'P 1'
loop_
_atom_site_label
_atom_site_type_symbol
_atom_site_fract_x
_atom_site_fract_y
_atom_site_fract_z
_atom_site_occupancy
Zr1 Zr 0.000 0.000 0.000 1
Zr2 Zr 0.000 0.500 0.500 1
Zr3 Zr 0.500 0.000 0.500 1
Zr4 Zr 0.500 0.500 0.000 1
Hg1 Hg 0.000 0.000 0.500 1
Hg2 Hg 0.000 0.500 0.000 1
Hg3 Hg 0.250 0.250 0.250 1
Hg4 Hg 0.250 0.750 0.750 1
Hg5 Hg 0.500 0.000 0.000 1
Hg6 Hg 0.500 0.500 0.500 1
Hg7 Hg 0.750 0.250 0.750 1
Hg8 Hg 0.750 0.750 0.250 1
As1 As 0.250 0.250 0.750 1
As2 As 0.250 0.750 0.250 1
As3 As 0.750 0.250 0.250 1
As4 As 0.750 0.750 0.750 1
```

Summary:
crystal system: cubic
VASP energy: -3.4223 eV per atom
ρ: 11.02 Mg/m³

=====

This record from OQMD via LeMat-Bulk describes an optimized crystal structure of MgHg2H6. The functional is PBE.

CIF file:
```
data_MgHg2H6
_cell_length_a 5.541
_cell_length_b 5.541
_cell_length_c 4.773
_cell_angle_alpha 90.00
_cell_angle_beta 90.00
_cell_angle_gamma 120.00
_space_group_name_H-M_alt 'P 1'
_space_group_IT_number 1
_space_group_name_Hall 'P 1'
loop_
_atom_site_label
_atom_site_type_symbol
_atom_site_fract_x
_atom_site_fract_y
_atom_site_fract_z
_atom_site_occupancy
Mg1 Mg 0.000 0.000 0.000 1
Hg1 Hg 0.333 0.667 0.751 1
Hg2 Hg 0.667 0.333 0.249 1
H1 H 0.150 0.301 0.730 1
H2 H 0.150 0.850 0.730 1
H3 H 0.301 0.150 0.270 1
H4 H 0.699 0.850 0.730 1
H5 H 0.850 0.150 0.270 1
H6 H 0.850 0.699 0.270 1
```

Summary:
crystal system: trigonal
VASP energy: -2.2020 eV per atom
ρ: 5.65 Mg/m³

=====

This record from OQMD via LeMat-Bulk describes an optimized crystal structure of ZnSb2. The functional is PBE.

CIF file:
```
data_ZnSb2
_cell_length_a 6.207
_cell_length_b 6.207
_cell_length_c 6.207
_cell_angle_alpha 60.00
_cell_angle_beta 60.00
_cell_angle_gamma 60.00
_space_group_name_H-M_alt 'P 1'
_space_group_IT_number 1
_space_group_name_Hall 'P 1'
loop_
_atom_site_label
_atom_site_type_symbol
_atom_site_fract_x
_atom_site_fract_y
_atom_site_fract_z
_atom_site_occupancy
Zn1 Zn 0.125 0.125 0.125 1
Zn2 Zn 0.875 0.875 0.875 1
Sb1 Sb 0.000 0.500 0.500 1
Sb2 Sb 0.500 0.000 0.500 1
Sb3 Sb 0.500 0.500 0.000 1
Sb4 Sb 0.500 0.500 0.500 1
```

Summary:
crystal system: cubic
VASP energy: -2.7586 eV per atom
ρ: 6.07 Mg/m³

=====

This record from OQMD via LeMat-Bulk describes an optimized crystal structure of Ta5NbOs2. The functional is PBE.

CIF file:
```
data_Ta5NbOs2
_cell_length_a 5.168
_cell_length_b 5.168
_cell_length_c 5.156
_cell_angle_alpha 90.00
_cell_angle_beta 90.00
_cell_angle_gamma 90.00
_space_group_name_H-M_alt 'P 1'
_space_group_IT_number 1
_space_group_name_Hall 'P 1'
loop_
_atom_site_label
_atom_site_type_symbol
_atom_site_fract_x
_atom_site_fract_y
_atom_site_fract_z
_atom_site_occupancy
Ta1 Ta 0.000 0.000 0.000 1
Ta2 Ta 0.250 0.500 0.750 1
Ta3 Ta 0.500 0.250 0.250 1
Ta4 Ta 0.500 0.750 0.250 1
Ta5 Ta 0.750 0.500 0.750 1
Nb1 Nb 0.000 0.000 0.500 1
Os1 Os 0.000 0.500 0.250 1
Os2 Os 0.500 0.000 0.750 1
```

Summary:
crystal system: tetragonal
ΔE_f: -0.318 eV per atom
VASP energy: -11.7941 eV per atom
ρ: 16.62 Mg/m³